Entry 1:
## Nd3Zn5H12 (GGA-PBE)

Data for crystalline Nd3Zn5H12 at its relaxed geometry.

The structure belongs to space group Ia-3d (No. 230); the cell edges are 12.5849, 12.5849 and 12.5849 Å and the angles 90.00°, 90.00° and 90.00°. The asymmetric unit holds Nd at (0.0000, 0.2500, 0.1250), Zn at (0.0000, 0.0000, 0.0000), Zn at (0.0000, 0.2500, 0.3750) and H at (0.0366, 0.0723, 0.6803).

The total magnetization comes out at 0.0 μB per formula unit. The calculation puts the total energy at -3.15 eV per atom.


Entry 2:
## Pm2NiGe (GGA-PBE)

Data for crystalline Pm2NiGe at its relaxed geometry.

The structure belongs to space group P2_1/m (No. 11); the cell edges are 5.9624, 4.2211 and 8.0289 Å and the angles 90.00°, 110.39° and 90.00°. The asymmetric unit holds Pm at (0.2242, 0.2500, 0.4101), Pm at (0.2276, 0.2500, 0.9467), Ni at (0.3934, 0.7500, 0.2206) and Ge at (0.3345, 0.7500, 0.7052).

The total magnetization comes out at 0.0 μB per formula unit. The formation energy is -57.6 kJ/mol of atoms.


Entry 3:
## YTlP2Se6 (GGA-PBE)

Data for crystalline YTlP2Se6 at its relaxed geometry.

The structure belongs to space group P2_1 (No. 4); the cell edges are 6.8405, 7.6392 and 10.5705 Å and the angles 90.00°, 92.06° and 90.00°. The asymmetric unit holds Y at (0.2159, 0.0000, 0.0022), Tl at (0.3168, 0.2179, 0.5051), P at (0.1942, 0.7297, 0.2880), P at (0.3183, 0.5110, 0.1709), Se at (0.0658, 0.3090, 0.8352), Se at (0.0797, 0.3109, 0.1656), Se at (0.1577, 0.6348, 0.4780), Se at (0.3721, 0.6366, 0.9826), Se at (0.4009, 0.9163, 0.7488) and Se at (0.4045, 0.9428, 0.2645).

The total magnetization comes out at 0.0 μB per formula unit. Its energy relative to the elements, uncorrected is -6.4 eV per formula unit.


Entry 4:
## Mg2HgIr (GGA-PBE)

Data for crystalline Mg2HgIr at its relaxed geometry.

The structure belongs to space group Pmmm (No. 47); the cell edges are 3.1578, 3.1903 and 7.2273 Å and the angles 90.00°, 90.00° and 90.00°. The asymmetric unit holds Mg at (0.0000, 0.0000, 0.2073), Hg at (0.5000, 0.5000, 0.5000) and Ir at (0.5000, 0.5000, 0.0000).

The total magnetization comes out at 0.0 μB per formula unit. The energy above the most stable polymorph in this dataset comes out at 0 meV per atom. The formation energy is -29.9 kJ/mol of atoms.


Entry 5:
## Al3OsN (GGA-PBE)

Data for crystalline Al3OsN at its relaxed geometry.

The structure belongs to space group Pm-3m (No. 221); the cell edges are 4.7586, 4.7586 and 4.7586 Å and the angles 90.00°, 90.00° and 90.00°. The asymmetric unit holds Al at (0.0000, 0.0000, 0.5000), Os at (0.0000, 0.0000, 0.0000) and N at (0.5000, 0.5000, 0.5000).

The total magnetization comes out at 2.5 μB per formula unit. The energy above the most stable polymorph in this dataset comes out at 1195 meV per atom. Its energy relative to the elements, uncorrected is 4.8 eV per formula unit.


Entry 6:
## PmTm12Sn6 (GGA-PBE)

Data for crystalline PmTm12Sn6 at its relaxed geometry.

The structure belongs to space group R-3 (No. 148, hexagonal axes); the cell edges are 14.7181, 14.7181 and 8.4734 Å and the angles 90.00°, 90.00° and 120.00°. The asymmetric unit holds Pm at (0.0000, 0.0000, 0.0000), Tm at (0.0030, 0.8673, 0.6637), Tm at (0.0598, 0.4821, 0.6693) and Sn at (0.0214, 0.7610, 0.3371).

The total magnetization comes out at 0.0 μB per formula unit. The formation energy is -35.5 kJ/mol of atoms.


Entry 7:
## TlHgBr2 (GGA-PBE)

Data for crystalline TlHgBr2 at its relaxed geometry.

The structure belongs to space group Cmmm (No. 65); the cell edges are 5.1925, 6.1789 and 7.7129 Å and the angles 90.00°, 90.00° and 90.00°. The asymmetric unit holds Tl at (0.0000, 0.0000, 0.0000), Hg at (0.0000, 0.0000, 0.5000) and Br at (0.0000, 0.5000, 0.2635).

The total magnetization comes out at 0.0 μB per formula unit. The energy above the most stable polymorph in this dataset comes out at 130 meV per atom. Its energy relative to the elements, uncorrected is -1.6 eV per formula unit.


Entry 8:
## ThUInRu3 (GGA-PBE)

Data for crystalline ThUInRu3 at its relaxed geometry.

The structure belongs to space group Cmcm (No. 63); the cell edges are 6.2495, 16.2525 and 5.5395 Å and the angles 90.00°, 90.00° and 90.00°. The asymmetric unit holds Th at (0.0000, 0.2315, 0.2500), U at (0.0000, 0.0626, 0.7500), In at (0.0000, 0.3769, 0.7500), Ru at (0.0000, 0.2148, 0.7500) and Ru at (0.2153, 0.5000, 0.0000).

The total magnetization comes out at 0.0 μB per formula unit. The formation energy is 0.1 kJ/mol of atoms.


Entry 9:
## Er2Cu2Ni (GGA-PBE)

Data for crystalline Er2Cu2Ni at its relaxed geometry.

The structure belongs to space group C2/m (No. 12); the cell edges are 9.7929, 3.8405 and 10.6497 Å and the angles 90.00°, 112.38° and 90.00°. The asymmetric unit holds Er at (0.0066, 0.0000, 0.3390), Er at (0.1926, 0.0000, 0.1203), Cu at (0.0234, 0.5000, 0.8895), Cu at (0.1559, 0.5000, 0.5505) and Ni at (0.2069, 0.5000, 0.3211).

The total magnetization comes out at 0.0 μB per formula unit. The formation energy is -32.9 kJ/mol of atoms.


Entry 10:
## KPaPO5 (GGA-PBE)

Data for crystalline KPaPO5 at its relaxed geometry.

The structure belongs to space group C2/c (No. 15); the cell edges are 7.3991, 9.6825 and 8.0618 Å and the angles 90.00°, 114.86° and 90.00°. The asymmetric unit holds K at (0.0000, 0.1628, 0.2500), Pa at (0.0000, 0.5000, 0.0000), P at (0.0000, 0.1831, 0.7500), O at (0.0000, 0.4271, 0.2500), O at (0.0786, 0.2766, 0.6359) and O at (0.1700, 0.0876, 0.8806).

The total magnetization comes out at 1.0 μB per formula unit. Its energy relative to the elements, uncorrected is -21.7 eV per formula unit.


Entry 11:
## PrP2Ru4 (GGA-PBE)

Data for crystalline PrP2Ru4 at its relaxed geometry.

The structure belongs to space group P4_2/mnm (No. 136); the cell edges are 7.5737, 7.5737 and 3.8208 Å and the angles 90.00°, 90.00° and 90.00°. The asymmetric unit holds Pr at (0.0000, 0.0000, 0.0000), P at (0.2246, 0.2246, 0.5000) and Ru at (0.0748, 0.6604, 0.5000).

The total magnetization comes out at 0.0 μB per formula unit. The energy above the most stable polymorph in this dataset comes out at 0 meV per atom. The formation energy is -63.4 kJ/mol of atoms.


Entry 12:
## Sm2Ho3Al3 (GGA-PBE)

Data for crystalline Sm2Ho3Al3 at its relaxed geometry.

The structure belongs to space group Pmmm (No. 47); the cell edges are 4.8047, 4.8132 and 8.8811 Å and the angles 90.00°, 90.00° and 90.00°. The asymmetric unit holds Sm at (0.0000, 0.0000, 0.2330), Ho at (0.5000, 0.0000, 0.5000), Ho at (0.5000, 0.5000, 0.2231), Al at (0.0000, 0.5000, 0.0000), Al at (0.0000, 0.5000, 0.5000) and Al at (0.5000, 0.0000, 0.0000).

The total magnetization comes out at 0.0 μB per formula unit. The energy above the most stable polymorph in this dataset comes out at 17 meV per atom. The formation energy is -25.4 kJ/mol of atoms.


| no. | V (A^3/atom) |
| --- | --- |
| 1 | 12.458 |
| 2 | 23.676 |
| 3 | 27.601 |
| 4 | 18.203 |
| 5 | 21.552 |
| 6 | 27.888 |
| 7 | 30.932 |
| 8 | 23.444 |
| 9 | 18.518 |
| 10 | 16.377 |
| 11 | 15.655 |
| 12 | 25.673 |